Here is a crystal of ReNi2Os relaxed with PBEsol from the Alexandria database. Energies are from meta-GGA SCAN.

Symmetry: R3m, No. 160
DFT formation energy (eV per formula unit): 0.608
Energy above the most stable polymorph in this dataset (eV/atom): 0.140
Calculated density (kg/m3): 16130
DFT total energy (eV per atom): -43.6790

a b c (Å): 2.6590 2.6590 8.4435
angles (deg): 80.94 80.94 60.00
Fractional positions:
Os 0.5020 0.5020 0.4941
Ni 0.2526 0.2526 0.2421
Ni 0.9973 0.9973 0.0080
Re 0.7481 0.7481 0.7558